Entry from Alexandria: a relaxed Li3FeP2O8 crystal (PBE with a Hubbard U).

Summary:
magnetization: 9.9 Bohr magnetons per cell
N(E_F): 0.00 states/eV/cell
E_tot: -6.6203 eV per atom
excess energy over the best structure of this formula in the dataset: 0.0 meV per atom

Unit cell a=5.9324 b=4.7377 c=10.2251 alpha=89.69 beta=90.00 gamma=90.00
With the nearest neighbours (Å) after each atom.
Sites, in units of the cell vectors:
1 O 0.0389 0.6996 0.8371  1 P 1.57
2 O 0.9535 0.2277 0.6742  1 P 1.58
3 O 0.2500 0.2411 0.3881  1 P 1.55
4 O 0.2500 0.7050 0.0476  1 P 1.58
5 O 0.7500 0.7525 0.0885  1 P 1.52
6 O 0.2500 0.8085 0.5413  1 P 1.53
7 O 0.0465 0.7723 0.3258  1 P 1.58
8 O 0.5389 0.3004 0.1629  1 P 1.57
9 O 0.7500 0.2950 0.9524  1 P 1.58
10 O 0.4611 0.6996 0.8371  1 P 1.57
11 O 0.5465 0.2277 0.6742  1 P 1.58
12 O 0.7500 0.7589 0.6119  1 P 1.55
13 O 0.7500 0.1915 0.4587  1 P 1.53
14 O 0.4535 0.7723 0.3258  1 P 1.58
15 O 0.9611 0.3004 0.1629  1 P 1.57
16 O 0.2500 0.2475 0.9115  1 P 1.52
17 P 0.2500 0.9144 0.3995  4 O 1.53-1.58
18 P 0.7500 0.0856 0.6005  4 O 1.53-1.58
19 P 0.7500 0.4324 0.0932  4 O 1.52-1.58
20 P 0.2500 0.5676 0.9068  4 O 1.52-1.58
21 Li 0.0000 0.5000 0.5000  6 O 2.13-2.24
22 Li 0.7500 0.9819 0.2795  6 O 2.07-2.29
23 Li 0.2500 0.0181 0.7205  6 O 2.07-2.29
24 Li 0.5000 0.0000 0.0000  6 O 2.09-2.21
25 Li 0.5000 0.5000 0.5000  6 O 2.13-2.24
26 Li 0.0000 0.0000 0.0000  6 O 2.09-2.21
27 Fe 0.2500 0.4936 0.2195  6 O 2.02-2.10
28 Fe 0.7500 0.5064 0.7805  6 O 2.02-2.10